A relaxed structure of Pm4GaSiCl2. Source: the Alexandria database, functional PBE.

Computed properties:
Its volume is 26.54 Å³/atom. For the theoretical density, the calculation gives 5.86 g cm⁻³. The space group is P2/m (10). The formation energy (no corrections) is -1087.6 meV/atom.

a = 7.2475 Å, b = 4.1969 Å, c = 7.4177 Å
α = 90.00°, β = 109.76°, γ = 90.00°
Closest atoms and distances in Å follow each position.
Positions (direct):
Pm 0.2297 0.0000 0.2420  2 Si 2.89, 1 Ga 2.93, 3 Cl 3.06-3.07
Pm 0.2344 0.5000 0.7506  1 Si 2.90, 2 Ga 2.93, 3 Cl 3.02-3.10
Pm 0.7656 0.5000 0.2494  1 Si 2.90, 2 Ga 2.93, 3 Cl 3.02-3.10
Pm 0.7703 0.0000 0.7580  2 Si 2.89, 1 Ga 2.93, 3 Cl 3.06-3.07
Ga 0.0000 0.0000 0.5000  6 Pm 2.93
Si 0.0000 0.5000 0.0000  6 Pm 2.89-2.90
Cl 0.5000 0.0000 0.0000  6 Pm 3.02-3.07
Cl 0.5000 0.5000 0.5000  6 Pm 3.06-3.10

A relaxed structure of CsTlFe3. Source: the Alexandria database, functional PBE.

Computed properties:
Its volume is 24.63 Å³/atom. For the theoretical density, the calculation gives 6.81 g cm⁻³. The space group is Pm-3m (221). The formation enthalpy at 0 K is 7.9 eV per formula unit. The calculation puts the offset from the most stable computed form at 0 meV/atom.

a = 4.9753 Å, b = 4.9753 Å, c = 4.9753 Å
α = 90.00°, β = 90.00°, γ = 90.00°
Closest atoms and distances in Å follow each position.
Positions (direct):
Cs 0.0000 0.0000 0.0000  12 Fe 3.52
Tl 0.5000 0.5000 0.5000  6 Fe 2.49
Fe 0.0000 0.5000 0.5000  2 Tl 2.49
Fe 0.5000 0.0000 0.5000  2 Tl 2.49
Fe 0.5000 0.5000 0.0000  2 Tl 2.49

A relaxed structure of Er2MgV. Source: the Alexandria database, functional PBE.

Computed properties:
Its volume is 25.57 Å³/atom. For the theoretical density, the calculation gives 6.65 g cm⁻³. The space group is R-3m (166). The formation enthalpy at 0 K is 2.4 eV per formula unit. The calculation puts the offset from the most stable computed form at 492 meV/atom.

a = 3.2334 Å, b = 3.2334 Å, c = 33.8906 Å
α = 90.00°, β = 90.00°, γ = 120.00°
Closest atoms and distances in Å follow each position.
Positions (direct):
Er 0.0000 0.0000 0.0833  1 V 2.82
Er 0.0000 0.0000 0.9167  1 V 2.82
Er 0.3333 0.6667 0.5834  1 V 2.82
Er 0.3333 0.6667 0.7499  1 V 2.82
Er 0.6667 0.3333 0.2501  1 V 2.82
Er 0.6667 0.3333 0.4166  1 V 2.82
Mg 0.0000 0.0000 0.5000  6 Mg 3.23, 6 Er 3.39
Mg 0.3333 0.6667 0.1667  6 Mg 3.23, 6 Er 3.39
Mg 0.6667 0.3333 0.8333  6 Mg 3.23, 6 Er 3.39
V 0.0000 0.0000 0.0000  2 Er 2.82
V 0.3333 0.6667 0.6667  2 Er 2.82
V 0.6667 0.3333 0.3333  2 Er 2.82

A relaxed structure of CaInTc2Pb. Source: the Alexandria database, functional PBE.

Computed properties:
Its volume is 27.78 Å³/atom. For the theoretical density, the calculation gives 6.67 g cm⁻³. The space group is P4/mmm (123). The formation enthalpy at 0 K is 7.2 eV per formula unit.

a = 5.0908 Å, b = 5.0908 Å, c = 5.3601 Å
α = 90.00°, β = 90.00°, γ = 90.00°
Closest atoms and distances in Å follow each position.
Positions (direct):
Ca 0.0000 0.0000 0.0000  4 In 3.60, 8 Tc 3.70
In 0.5000 0.5000 0.0000  2 Pb 2.68
Tc 0.0000 0.5000 0.5000  2 Pb 2.55
Tc 0.5000 0.0000 0.5000  2 Pb 2.55
Pb 0.5000 0.5000 0.5000  4 Tc 2.55, 2 In 2.68

A relaxed structure of KAcTl. Source: the Alexandria database, functional PBE.

Computed properties:
Its volume is 44.66 Å³/atom. For the theoretical density, the calculation gives 5.83 g cm⁻³. The space group is I4mm (107). The formation enthalpy at 0 K is -0.1 eV per formula unit. The calculation puts the offset from the most stable computed form at 113 meV/atom.

a = 4.1662 Å, b = 4.1662 Å, c = 15.4364 Å
α = 90.00°, β = 90.00°, γ = 90.00°
Closest atoms and distances in Å follow each position.
Positions (direct):
K 0.0000 0.0000 0.0000  4 Tl 3.80, 1 Ac 4.15, 4 K 4.17
K 0.5000 0.5000 0.5000  4 Tl 3.80, 1 Ac 4.15, 4 K 4.17
Ac 0.0000 0.0000 0.2690  4 Tl 3.43
Ac 0.5000 0.5000 0.7690  4 Tl 3.43
Tl 0.0000 0.0000 0.6554  4 Ac 3.43, 4 K 3.80
Tl 0.5000 0.5000 0.1554  4 Ac 3.43, 4 K 3.80

A relaxed structure of SmB12. Source: the Alexandria database, functional PBE.

Computed properties:
Its volume is 8.27 Å³/atom. For the theoretical density, the calculation gives 4.33 g cm⁻³. The space group is Fm-3m (225). The formation enthalpy at 0 K is -2.8 eV per formula unit.

a = 5.3366 Å, b = 5.3366 Å, c = 5.3366 Å
α = 60.00°, β = 60.00°, γ = 60.00°
Closest atoms and distances in Å follow each position.
Positions (direct):
Sm 0.0000 0.0000 0.0000  24 B 2.81
B 0.1630 0.5000 0.5000  5 B 1.74-1.80
B 0.1630 0.5000 0.8370  5 B 1.74-1.80
B 0.1630 0.8370 0.5000  5 B 1.74-1.80
B 0.5000 0.1630 0.5000  5 B 1.74-1.80
B 0.5000 0.1630 0.8370  5 B 1.74-1.80
B 0.5000 0.5000 0.1630  5 B 1.74-1.80
B 0.5000 0.5000 0.8370  5 B 1.74-1.80
B 0.5000 0.8370 0.1630  5 B 1.74-1.80
B 0.5000 0.8370 0.5000  5 B 1.74-1.80
B 0.8370 0.1630 0.5000  5 B 1.74-1.80
B 0.8370 0.5000 0.1630  5 B 1.74-1.80
B 0.8370 0.5000 0.5000  5 B 1.74-1.80

A relaxed structure of AgHg3Cl. Source: the Alexandria database, functional PBE.

Computed properties:
Its volume is 38.18 Å³/atom. For the theoretical density, the calculation gives 6.48 g cm⁻³. The space group is Pm-3m (221). The formation energy (no corrections) is 456.9 meV/atom. The calculation puts the offset from the most stable computed form at 630 meV/atom.

a = 5.7580 Å, b = 5.7580 Å, c = 5.7580 Å
α = 90.00°, β = 90.00°, γ = 90.00°
Closest atoms and distances in Å follow each position.
Positions (direct):
Ag 0.0000 0.0000 0.0000  12 Hg 4.07
Hg 0.0000 0.5000 0.5000  2 Cl 2.88
Hg 0.5000 0.0000 0.5000  2 Cl 2.88
Hg 0.5000 0.5000 0.0000  2 Cl 2.88
Cl 0.5000 0.5000 0.5000  6 Hg 2.88

A relaxed structure of ScTcOs2. Source: the Alexandria database, functional PBE.

Computed properties:
Its volume is 15.50 Å³/atom. For the theoretical density, the calculation gives 14.02 g cm⁻³. The space group is Cmmm (65). The formation enthalpy at 0 K is 0.9 eV per formula unit. The calculation puts the offset from the most stable computed form at 294 meV/atom.

a = 3.0526 Å, b = 4.5869 Å, c = 8.8566 Å
α = 90.00°, β = 90.00°, γ = 90.00°
Closest atoms and distances in Å follow each position.
Positions (direct):
Sc 0.0000 0.0000 0.0000  4 Os 2.73, 4 Sc 2.75
Sc 0.5000 0.5000 0.0000  4 Os 2.73, 4 Sc 2.75
Tc 0.0000 0.0000 0.5000  4 Os 2.65, 4 Tc 2.75
Tc 0.5000 0.5000 0.5000  4 Os 2.65, 4 Tc 2.75
Os 0.0000 0.5000 0.2549  2 Tc 2.65, 2 Sc 2.73, 4 Os 2.75
Os 0.0000 0.5000 0.7451  2 Tc 2.65, 2 Sc 2.73, 4 Os 2.75
Os 0.5000 0.0000 0.2549  2 Tc 2.65, 2 Sc 2.73, 4 Os 2.75
Os 0.5000 0.0000 0.7451  2 Tc 2.65, 2 Sc 2.73, 4 Os 2.75

no.,uncorrected energy (Ry/atom)
1,-0.36608
2,-0.30509
3,-0.32021
4,-0.32301
5,-0.18690
6,-0.49549
7,-0.04879
8,-0.70280